No. 1
# YLuInRu

Crystalline YLuInRu at its relaxed geometry (PBE, Alexandria).

Calculated values
formation enthalpy at 0 K = -0.3589 eV/atom
SG = F-43m
total magnetization = 0.0 μB per formula unit

Unit cell a=5.015 b=5.015 c=5.015 alpha=60.00 beta=60.00 gamma=60.00
Fractional positions:
1 Y 0.000 0.000 0.000
2 Lu 0.500 0.500 0.500
3 In 0.250 0.250 0.250
4 Ru 0.750 0.750 0.750

---

No. 2
# Ga3SiAu

Crystalline Ga3SiAu at its relaxed geometry (PBE, Alexandria).

Calculated values
formation energy (no corrections) = 183 kJ/mol of formula units
SG = Pm-3m
total magnetization = 0.0 μB per formula unit
relative energy among the computed polymorphs = 0 meV/atom

Unit cell a=4.793 b=4.793 c=4.793 alpha=90.00 beta=90.00 gamma=90.00
Fractional positions:
1 Ga 0.000 0.000 0.500
2 Ga 0.000 0.500 0.000
3 Ga 0.500 0.000 0.000
4 Si 0.000 0.000 0.000
5 Au 0.500 0.500 0.500

---

No. 3
# AcTmSi2

Crystalline AcTmSi2 at its relaxed geometry (PBE, Alexandria).

Calculated values
formation energy (no corrections) = -229 kJ/mol of formula units
SG = Pnma
total magnetization = 0.0 μB per formula unit
relative energy among the computed polymorphs = 0 meV/atom

Unit cell a=8.657 b=4.007 c=11.605 alpha=90.00 beta=90.00 gamma=90.00
Fractional positions:
1 Ac 0.131 0.250 0.132
2 Ac 0.369 0.750 0.632
3 Ac 0.631 0.250 0.368
4 Ac 0.869 0.750 0.868
5 Tm 0.000 0.250 0.613
6 Tm 0.000 0.750 0.387
7 Tm 0.500 0.250 0.887
8 Tm 0.500 0.750 0.113
9 Si 0.172 0.250 0.823
10 Si 0.238 0.250 0.434
11 Si 0.262 0.750 0.934
12 Si 0.328 0.750 0.323
13 Si 0.672 0.250 0.677
14 Si 0.738 0.250 0.066
15 Si 0.762 0.750 0.566
16 Si 0.828 0.750 0.177

---

No. 4
# Y2TcAuS

Crystalline Y2TcAuS at its relaxed geometry (PBE, Alexandria).

Calculated values
formation energy (no corrections) = 9 kJ/mol of formula units
SG = P4/mmm
total magnetization = 1.6 μB per formula unit

Unit cell a=5.125 b=5.125 c=4.618 alpha=90.00 beta=90.00 gamma=90.00
Fractional positions:
1 Y 0.000 0.500 0.000
2 Y 0.500 0.000 0.000
3 Tc 0.000 0.000 0.500
4 Au 0.500 0.500 0.500
5 S 0.500 0.500 0.000

---

No. 5
# Sr2TeO

Crystalline Sr2TeO at its relaxed geometry (PBE, Alexandria).

Calculated values
formation energy (no corrections) = -816 kJ/mol of formula units
SG = Pna2_1
total magnetization = 0.0 μB per formula unit
relative energy among the computed polymorphs = 123 meV/atom

Unit cell a=6.615 b=10.971 c=6.618 alpha=90.00 beta=90.00 gamma=90.00
Fractional positions:
1 Sr 0.007 0.081 0.000
2 Sr 0.101 0.670 0.907
3 Sr 0.399 0.170 0.407
4 Sr 0.493 0.581 0.500
5 Sr 0.507 0.419 0.000
6 Sr 0.601 0.830 0.907
7 Sr 0.899 0.330 0.407
8 Sr 0.993 0.919 0.500
9 Te 0.001 0.375 0.896
10 Te 0.499 0.875 0.396
11 Te 0.501 0.125 0.896
12 Te 0.999 0.625 0.396
13 O 0.045 0.125 0.356
14 O 0.455 0.625 0.856
15 O 0.545 0.375 0.356
16 O 0.955 0.875 0.856

---

No. 6
# Y2Co2B

Crystalline Y2Co2B at its relaxed geometry (PBE, Alexandria).

Calculated values
formation enthalpy at 0 K = -0.1937 eV/atom
SG = C2/c
total magnetization = 0.0 μB per formula unit

Unit cell a=5.564 b=5.564 c=6.563 alpha=97.93 beta=97.93 gamma=55.21
Fractional positions:
1 Y 0.037 0.259 0.153
2 Y 0.259 0.037 0.653
3 Y 0.741 0.963 0.347
4 Y 0.963 0.741 0.847
5 Co 0.287 0.488 0.488
6 Co 0.488 0.287 0.988
7 Co 0.512 0.713 0.012
8 Co 0.713 0.512 0.512
9 B 0.427 0.573 0.250
10 B 0.573 0.427 0.750

---

No. 7
# Ba2Ag2H4Rh

Crystalline Ba2Ag2H4Rh at its relaxed geometry (PBE, Alexandria).

Calculated values
SG = I4/mmm
energy = -3.668 eV per atom
total magnetization = 0.0 μB per formula unit

Unit cell a=6.041 b=6.041 c=6.041 alpha=116.52 beta=116.52 gamma=96.14
Fractional positions:
1 Ba 0.250 0.750 0.500
2 Ba 0.750 0.250 0.500
3 Ag 0.164 0.164 0.000
4 Ag 0.836 0.836 0.000
5 H 0.310 0.310 0.621
6 H 0.310 0.690 0.000
7 H 0.690 0.310 0.000
8 H 0.690 0.690 0.379
9 Rh 0.500 0.500 0.000

---

No. 8
# Pm8Ge5As

Crystalline Pm8Ge5As at its relaxed geometry (PBE, Alexandria).

Calculated values
formation enthalpy at 0 K = -0.9094 eV/atom
SG = I-4
total magnetization = 0.0 μB per formula unit

Unit cell a=7.866 b=7.866 c=7.866 alpha=109.45 beta=109.45 gamma=109.51
Fractional positions:
1 Pm 0.124 0.374 0.619
2 Pm 0.124 0.376 0.118
3 Pm 0.257 0.006 0.882
4 Pm 0.494 0.876 0.250
5 Pm 0.624 0.743 0.749
6 Pm 0.626 0.244 0.750
7 Pm 0.756 0.506 0.381
8 Pm 0.994 0.876 0.251
9 Ge 0.000 0.626 0.876
10 Ge 0.374 0.250 0.374
11 Ge 0.500 0.500 0.000
12 Ge 0.750 0.124 0.124
13 Ge 0.876 0.000 0.626
14 As 0.250 0.750 0.500

---

No. 9
# Tl2ZnP

Crystalline Tl2ZnP at its relaxed geometry (PBE, Alexandria).

Calculated values
formation enthalpy at 0 K = 0.3631 eV/atom
SG = I-4m2
total magnetization = 0.0 μB per formula unit
relative energy among the computed polymorphs = 368 meV/atom

Unit cell a=5.287 b=5.287 c=5.287 alpha=124.65 beta=124.65 gamma=82.12
Fractional positions:
1 Tl 0.000 0.000 0.000
2 Tl 0.750 0.250 0.500
3 Zn 0.250 0.750 0.500
4 P 0.500 0.500 0.000

---

No. 10
# BaSb2F2

Crystalline BaSb2F2 at its relaxed geometry (PBE, Alexandria).

Calculated values
formation energy (no corrections) = -597 kJ/mol of formula units
SG = P4/mbm
total magnetization = 0.0 μB per formula unit
relative energy among the computed polymorphs = 143 meV/atom

Unit cell a=8.664 b=8.664 c=4.621 alpha=90.00 beta=90.00 gamma=90.00
Fractional positions:
1 Ba 0.000 0.000 0.000
2 Ba 0.500 0.500 0.000
3 Sb 0.116 0.384 0.000
4 Sb 0.384 0.884 0.000
5 Sb 0.616 0.116 0.000
6 Sb 0.884 0.616 0.000
7 F 0.134 0.366 0.500
8 F 0.366 0.866 0.500
9 F 0.634 0.134 0.500
10 F 0.866 0.634 0.500

---

No. 11
# Tb3YTm2Bi6

Crystalline Tb3YTm2Bi6 at its relaxed geometry (PBE, Alexandria).

Calculated values
formation enthalpy at 0 K = -0.8498 eV/atom
SG = C2/m
total magnetization = 0.0 μB per formula unit

Unit cell a=9.996 b=9.996 c=8.943 alpha=102.84 beta=102.84 gamma=25.85
Fractional positions:
1 Tb 0.000 0.000 0.000
2 Tb 0.334 0.334 0.667
3 Tb 0.666 0.666 0.333
4 Y 0.000 0.000 0.500
5 Tm 0.333 0.333 0.167
6 Tm 0.667 0.667 0.833
7 Bi 0.167 0.167 0.586
8 Bi 0.168 0.168 0.081
9 Bi 0.499 0.499 0.250
10 Bi 0.501 0.501 0.750
11 Bi 0.832 0.832 0.919
12 Bi 0.833 0.833 0.414

---

No. 12
# TbSmHoTm

Crystalline TbSmHoTm at its relaxed geometry (PBE, Alexandria).

Calculated values
formation enthalpy at 0 K = 0.1991 eV/atom
SG = Pmm2
total magnetization = 0.0 μB per formula unit
relative energy among the computed polymorphs = 72 meV/atom

Unit cell a=3.432 b=5.601 c=6.690 alpha=90.00 beta=90.00 gamma=90.00
Fractional positions:
1 Tb 0.000 0.000 0.000
2 Sm 0.500 0.500 0.749
3 Ho 0.500 0.000 0.495
4 Tm 0.500 0.500 0.235